NaSr3PtO6 PBE relaxed; uncorrected energy = -0.2142 Ha/atom; symmetry = R-3c, No. 167; volume = 309.7 Å³ per cell
1.0
4.812 2.778 3.861
-4.812 2.778 3.861
0.000 -5.556 3.861
Pt O Sr Na
2 12 6 2
direct
0.500 0.500 0.500
0.000 0.000 0.000
0.922 0.716 0.056
0.422 0.556 0.216
0.216 0.422 0.556
0.784 0.578 0.444
0.716 0.056 0.922
0.556 0.216 0.422
0.444 0.784 0.578
0.056 0.922 0.716
0.284 0.944 0.078
0.578 0.444 0.784
0.078 0.284 0.944
0.944 0.078 0.284
0.891 0.250 0.609
0.391 0.109 0.750
0.609 0.891 0.250
0.109 0.750 0.391
0.750 0.391 0.109
0.250 0.609 0.891
0.250 0.250 0.250
0.750 0.750 0.750



Rb3Na2ReO6 PBE relaxed; excess energy over the best structure of this formula in the dataset = 0 meV/atom; symmetry = C2/m, No. 12; volume = 205.2 Å³ per cell
1.0
2.873 5.084 2.992
-5.881 0.678 -2.830
-1.714 -2.831 4.719
O Rb Re Na
6 3 1 2
direct
0.048 0.286 0.203
0.714 0.952 0.797
0.192 0.192 0.800
0.808 0.808 0.200
0.286 0.048 0.203
0.952 0.714 0.797
0.500 0.500 0.500
0.328 0.672 0.000
0.672 0.328 0.000
0.000 0.000 0.000
0.874 0.126 0.500
0.126 0.874 0.500



Rb4NaReO6 PBE relaxed; uncorrected energy = -0.2028 Ha/atom; symmetry = C2/m, No. 12; volume = 208.2 Å³ per cell
1.0
-2.093 3.365 5.206
-4.153 -1.569 -4.805
1.559 -5.631 2.454
O Na Rb Re
6 1 4 1
direct
0.913 0.676 0.791
0.324 0.087 0.209
0.832 0.832 0.179
0.087 0.324 0.209
0.676 0.913 0.791
0.168 0.168 0.821
0.500 0.500 0.500
0.175 0.825 0.500
0.333 0.667 0.000
0.825 0.175 0.500
0.667 0.333 0.000
0.000 0.000 0.000



Question: What is the volume in the first record?
Answer: 309.7 Å³ per cell